Compound: CaMgIn
Source: the Alexandria database
Functional: GGA-PBEsol
Structure: relaxed

Geometry as POSCAR:
```
CaMgIn
1.0
5.0280 0.0000 0.0000
-2.5140 4.3544 0.0000
0.0000 0.0000 3.6035
Ca Mg In
1 1 1
direct
0.0000 0.0000 0.0000
0.6667 0.3333 0.5000
0.3333 0.6667 0.5000
```

Properties
E_tot = -2.6159 eV per atom
formation energy from the elements = -338 meV per atom
total magnetization = 0.0000 μB per atom

Compound: Ca2MgIn
Source: the Alexandria database
Functional: GGA-PBEsol
Structure: relaxed

Geometry as POSCAR:
```
Ca2MgIn
1.0
1.8365 1.0603 10.5539
-1.8365 1.0603 10.5539
0.0000 -2.1206 10.5539
Ca Mg In
2 1 1
direct
0.2450 0.2450 0.2450
0.7550 0.7550 0.7550
0.0000 0.0000 0.0000
0.5000 0.5000 0.5000
```

Properties
E_tot = -2.3703 eV per atom
formation energy from the elements = -129 meV per atom
total magnetization = 0.0000 μB per atom
distance to the lowest polymorph of the same formula = 0.85 eV/f.u.

Compound: CaMg2In
Source: the Alexandria database
Functional: GGA-PBEsol
Structure: relaxed

Geometry as POSCAR:
```
CaMg2In
1.0
3.4060 0.0000 0.0000
0.0000 4.8998 0.0000
-1.6769 0.0000 6.1156
Ca Mg In
1 2 1
direct
0.0000 0.0000 0.0000
0.3336 0.5000 0.6695
0.7345 0.0000 0.4764
0.6029 0.5000 0.2094
```

Properties
E_tot = -2.3367 eV per atom
formation energy from the elements = -199 meV per atom
total magnetization = 0.0000 μB per atom

Compound: CaMg2In2
Source: the Alexandria database
Functional: GGA-PBEsol
Structure: relaxed

Geometry as POSCAR:
```
CaMg2In2
1.0
-2.2368 2.2368 6.4780
2.2368 -2.2368 6.4780
2.2368 2.2368 -6.4780
Ca Mg In
1 2 2
direct
0.0000 0.0000 0.0000
0.2500 0.7500 0.5000
0.7500 0.2500 0.5000
0.3932 0.3932 0.0000
0.6068 0.6068 0.0000
```

Properties
E_tot = -2.5736 eV per atom
formation energy from the elements = -267 meV per atom
total magnetization = 0.0001 μB per atom

Compound: CaMgIn3
Source: the Alexandria database
Functional: GGA-PBEsol
Structure: relaxed

Geometry as POSCAR:
```
CaMgIn3
1.0
5.7332 0.0000 0.0000
0.0000 5.7332 0.0000
0.0000 0.0000 5.7332
Ca Mg In
1 1 3
direct
0.0000 0.0000 0.0000
0.5000 0.5000 0.5000
0.0000 0.0000 0.5000
0.0000 0.5000 0.0000
0.5000 0.0000 0.0000
```

Properties
E_tot = -1.9008 eV per atom
formation energy from the elements = 659 meV per atom
total magnetization = 0.0000 μB per atom

Compound: Ca2MgIn
Source: the Alexandria database
Functional: GGA-PBEsol
Structure: relaxed

Geometry as POSCAR:
```
Ca2MgIn
1.0
6.3465 -1.8396 0.0000
6.3465 1.8396 0.0000
-2.3977 0.0000 4.9843
Ca Mg In
2 1 1
direct
0.0000 0.0000 0.0000
0.2083 0.2083 0.7069
0.7648 0.7648 0.2632
0.4682 0.4682 0.4686
```

Properties
E_tot = -2.4929 eV per atom
formation energy from the elements = -251 meV per atom
total magnetization = 0.0000 μB per atom
distance to the lowest polymorph of the same formula = 0.36 eV/f.u.

Compound: Ca2MgIn
Source: the Alexandria database
Functional: GGA-PBEsol
Structure: relaxed

Geometry as POSCAR:
```
Ca2MgIn
1.0
3.7978 0.0000 0.0000
0.0000 5.4459 0.0000
0.0000 0.0000 5.4460
Ca Mg In
2 1 1
direct
0.0000 0.0000 0.0000
0.0000 0.5000 0.4990
0.5000 0.0000 0.5003
0.5000 0.5000 0.9989
```

Properties
E_tot = -2.5730 eV per atom
formation energy from the elements = -331 meV per atom
total magnetization = 0.0000 μB per atom
distance to the lowest polymorph of the same formula = 0.04 eV/f.u.

Compound: Ca2MgIn
Source: the Alexandria database
Functional: GGA-PBEsol
Structure: relaxed

Geometry as POSCAR:
```
Ca2MgIn
1.0
0.0000 3.8284 3.8284
3.8284 0.0000 3.8284
3.8284 3.8284 0.0000
Ca Mg In
2 1 1
direct
0.2500 0.2500 0.2500
0.7500 0.7500 0.7500
0.0000 0.0000 0.0000
0.5000 0.5000 0.5000
```

Properties
E_tot = -2.5820 eV per atom
formation energy from the elements = -340 meV per atom
total magnetization = 0.0000 μB per atom
distance to the lowest polymorph of the same formula = 0.00 eV/f.u.

Compound: CaMg2InRe
Source: the Alexandria database
Functional: GGA-PBEsol
Structure: relaxed

Geometry as POSCAR:
```
CaMg2InRe
1.0
5.0499 0.0000 0.0000
0.0000 5.0499 0.0000
0.0000 0.0000 5.1637
Ca Mg In Re
1 2 1 1
direct
0.0000 0.0000 0.0000
0.0000 0.5000 0.5000
0.5000 0.0000 0.5000
0.5000 0.5000 0.0000
0.5000 0.5000 0.5000
```

Properties
E_tot = -3.9532 eV per atom
formation energy from the elements = 423 meV per atom
total magnetization = 0.0000 μB per atom

Compound: CaMnIn2
Source: the Alexandria database
Functional: GGA-PBEsol
Structure: relaxed

Geometry as POSCAR:
```
CaMnIn2
1.0
3.3455 0.0000 0.0000
0.0000 3.3455 0.0000
0.0000 0.0000 7.7077
Ca Mn In
1 1 2
direct
0.0000 0.0000 0.0000
0.0000 0.0000 0.5000
0.5000 0.5000 0.2934
0.5000 0.5000 0.7066
```

Properties
E_tot = -4.5440 eV per atom
formation energy from the elements = -79 meV per atom
total magnetization = 0.8886 μB per atom

Compound: CaMnIn
Source: the Alexandria database
Functional: GGA-PBEsol
Structure: relaxed

Geometry as POSCAR:
```
CaMnIn
1.0
-1.7456 1.7456 5.5876
1.7456 -1.7456 5.5876
1.7456 1.7456 -5.5876
Ca Mn In
1 1 1
direct
0.0000 0.0000 0.0000
0.3118 0.3118 0.0000
0.6964 0.6964 0.0000
```

Properties
E_tot = -4.7925 eV per atom
formation energy from the elements = 167 meV per atom
total magnetization = 1.2154 μB per atom

Compound: CaMn2In
Source: the Alexandria database
Functional: GGA-PBEsol
Structure: relaxed

Geometry as POSCAR:
```
CaMn2In
1.0
0.0000 3.4072 3.4072
3.4072 0.0000 3.4072
3.4072 3.4072 0.0000
Ca Mn In
1 2 1
direct
0.0000 0.0000 0.0000
0.2500 0.2500 0.2500
0.5000 0.5000 0.5000
0.7500 0.7500 0.7500
```

Properties
E_tot = -5.6972 eV per atom
formation energy from the elements = 462 meV per atom
total magnetization = 1.9161 μB per atom

Compound: CaMnIn2
Source: the Alexandria database
Functional: GGA-PBEsol
Structure: relaxed

Geometry as POSCAR:
```
CaMnIn2
1.0
3.3975 0.0000 0.0000
0.0000 3.3975 0.0000
0.0000 0.0000 7.9271
Ca Mn In
1 1 2
direct
0.0000 0.0000 0.0000
0.5000 0.5000 0.2630
0.0000 0.0000 0.4403
0.5000 0.5000 0.7048
```

Properties
E_tot = -4.3106 eV per atom
formation energy from the elements = 154 meV per atom
total magnetization = 0.8773 μB per atom

Compound: CaMnIn2
Source: the Alexandria database
Functional: GGA-PBEsol
Structure: relaxed

Geometry as POSCAR:
```
CaMnIn2
1.0
4.4686 0.0000 0.0000
0.0000 4.4686 0.0000
0.0000 0.0000 4.4503
Ca Mn In
1 1 2
direct
0.0000 0.0000 0.0000
0.5000 0.5000 0.0000
0.0000 0.5000 0.5000
0.5000 0.0000 0.5000
```

Properties
E_tot = -4.4424 eV per atom
formation energy from the elements = 23 meV per atom
total magnetization = 1.0142 μB per atom

Compound: Ca2MnIn
Source: the Alexandria database
Functional: GGA-PBEsol
Structure: relaxed

Geometry as POSCAR:
```
Ca2MnIn
1.0
3.5615 0.0000 0.0000
0.0000 3.5615 0.0000
0.0000 0.0000 8.4431
Ca Mn In
2 1 1
direct
0.0000 0.0000 0.0000
0.5000 0.5000 0.3606
0.5000 0.5000 0.7602
0.0000 0.0000 0.6107
```

Properties
E_tot = -4.1290 eV per atom
formation energy from the elements = 124 meV per atom
total magnetization = 0.9255 μB per atom

Compound: CaMnIn2
Source: the Alexandria database
Functional: GGA-PBEsol
Structure: relaxed

Geometry as POSCAR:
```
CaMnIn2
1.0
-1.6564 2.1663 6.6941
1.6564 -2.1663 6.6941
1.6564 2.1663 -6.6941
Ca Mn In
1 1 2
direct
0.0000 0.0000 0.0000
0.7975 0.2975 0.5000
0.2962 0.7962 0.5000
0.6306 0.6306 0.0000
```

Properties
E_tot = -4.3588 eV per atom
formation energy from the elements = 106 meV per atom
total magnetization = 0.8302 μB per atom

Compound: Ca3MnIn
Source: the Alexandria database
Functional: GGA-PBEsol
Structure: relaxed

Geometry as POSCAR:
```
Ca3MnIn
1.0
5.3717 0.0000 0.0000
0.0000 5.3717 0.0000
0.0000 0.0000 5.3717
Ca Mn In
3 1 1
direct
0.0000 0.0000 0.5000
0.0000 0.5000 0.0000
0.5000 0.0000 0.0000
0.0000 0.0000 0.0000
0.5000 0.5000 0.5000
```

Properties
E_tot = -3.4088 eV per atom
formation energy from the elements = 420 meV per atom
total magnetization = 0.4903 μB per atom

Compound: Ca2InMo
Source: the Alexandria database
Functional: GGA-PBEsol
Structure: relaxed

Geometry as POSCAR:
```
Ca2InMo
1.0
-1.9706 2.5045 5.0001
1.9706 -2.5045 5.0001
1.9706 2.5045 -5.0001
Ca In Mo
2 1 1
direct
0.0000 0.0000 0.0000
0.7184 0.2184 0.5000
0.2607 0.7607 0.5000
0.4539 0.4539 0.0000
```

Properties
E_tot = -4.3400 eV per atom
formation energy from the elements = 414 meV per atom
total magnetization = 0.3795 μB per atom

Compound: Ca3InMo
Source: the Alexandria database
Functional: GGA-PBEsol
Structure: relaxed

Geometry as POSCAR:
```
Ca3InMo
1.0
5.3486 0.0000 0.0000
0.0000 5.3486 0.0000
0.0000 0.0000 5.3486
Ca In Mo
3 1 1
direct
0.0000 0.0000 0.5000
0.0000 0.5000 0.0000
0.5000 0.0000 0.0000
0.5000 0.5000 0.5000
0.0000 0.0000 0.0000
```

Properties
E_tot = -3.4732 eV per atom
formation energy from the elements = 757 meV per atom
total magnetization = 0.0002 μB per atom
distance to the lowest polymorph of the same formula = 0.00 eV/f.u.

Compound: CaIn2Mo
Source: the Alexandria database
Functional: GGA-PBEsol
Structure: relaxed

Geometry as POSCAR:
```
CaIn2Mo
1.0
3.0624 0.0000 0.0000
0.0000 3.0624 0.0000
0.0000 0.0000 8.8900
Ca In Mo
1 2 1
direct
0.0000 0.0000 0.0000
0.5000 0.5000 0.2771
0.5000 0.5000 0.7229
0.0000 0.0000 0.5000
```

Properties
E_tot = -4.9011 eV per atom
formation energy from the elements = 66 meV per atom
total magnetization = 0.0967 μB per atom
distance to the lowest polymorph of the same formula = 0.00 eV/f.u.

Compound: CaIn2Mo
Source: the Alexandria database
Functional: GGA-PBEsol
Structure: relaxed

Geometry as POSCAR:
```
CaIn2Mo
1.0
0.0000 3.4872 3.4872
3.4872 0.0000 3.4872
3.4872 3.4872 0.0000
Ca In Mo
1 2 1
direct
0.0000 0.0000 0.0000
0.5000 0.5000 0.5000
0.7500 0.7500 0.7500
0.2500 0.2500 0.2500
```

Properties
E_tot = -4.4237 eV per atom
formation energy from the elements = 543 meV per atom
total magnetization = 0.1601 μB per atom
distance to the lowest polymorph of the same formula = 1.91 eV/f.u.

Compound: Ca3InMo
Source: the Alexandria database
Functional: GGA-PBEsol
Structure: relaxed

Geometry as POSCAR:
```
Ca3InMo
1.0
5.8173 0.0000 0.0000
0.0000 5.8173 0.0000
0.0000 0.0000 5.8173
Ca In Mo
3 1 1
direct
0.0000 0.0000 0.5000
0.0000 0.5000 0.0000
0.5000 0.0000 0.0000
0.0000 0.0000 0.0000
0.5000 0.5000 0.5000
```

Properties
E_tot = -3.2214 eV per atom
formation energy from the elements = 1009 meV per atom
total magnetization = 0.9909 μB per atom
distance to the lowest polymorph of the same formula = 1.26 eV/f.u.

Compound: CaIn2MoOs
Source: the Alexandria database
Functional: GGA-PBEsol
Structure: relaxed

Geometry as POSCAR:
```
CaIn2MoOs
1.0
5.1225 0.0000 0.0000
0.0000 5.1225 0.0000
0.0000 0.0000 4.3519
Ca In Mo Os
1 2 1 1
direct
0.0000 0.0000 0.0000
0.0000 0.5000 0.0000
0.5000 0.0000 0.0000
0.0000 0.0000 0.5000
0.5000 0.5000 0.5000
```

Properties
E_tot = -3.8914 eV per atom
formation energy from the elements = 2525 meV per atom
total magnetization = 0.2630 μB per atom

Compound: CaIn2N2
Source: the Alexandria database
Functional: GGA-PBEsol
Structure: relaxed

Geometry as POSCAR:
```
CaIn2N2
1.0
1.7008 0.9820 7.7411
-1.7008 0.9820 7.7411
0.0000 -1.9639 7.7411
Ca In N
1 2 2
direct
0.0000 0.0000 0.0000
0.2214 0.2214 0.2214
0.7786 0.7786 0.7786
0.3981 0.3981 0.3981
0.6019 0.6019 0.6019
```

Properties
E_tot = -5.4706 eV per atom
uncorrected formation energy = -0.440 eV/atom
total magnetization = 0.0000 μB per atom

Compound: Ca4In2N
Source: the Alexandria database
Functional: GGA-PBEsol
Structure: relaxed

Geometry as POSCAR:
```
Ca4In2N
1.0
-2.4298 2.4298 14.3471
2.4298 -2.4298 14.3471
2.4298 2.4298 -14.3471
Ca In N
8 4 2
direct
0.0435 0.7935 0.2500
0.1243 0.3743 0.7500
0.2065 0.9565 0.2500
0.3743 0.1243 0.2500
0.6257 0.8757 0.7500
0.7935 0.0435 0.7500
0.8757 0.6257 0.2500
0.9565 0.2065 0.7500
0.2850 0.5350 0.7500
0.4650 0.7150 0.7500
0.5350 0.2850 0.2500
0.7150 0.4650 0.2500
0.1250 0.8750 0.2500
0.8750 0.1250 0.7500
```

Properties
E_tot = -4.0159 eV per atom
uncorrected formation energy = -0.727 eV/atom
total magnetization = 0.0000 μB per atom

Compound: Ca3InN3
Source: the Alexandria database
Functional: GGA-PBEsol
Structure: relaxed

Geometry as POSCAR:
```
Ca3InN3
1.0
7.3739 0.0000 0.0000
-3.6869 6.3859 0.0000
0.0000 0.0000 5.0140
Ca In N
6 2 6
direct
0.0654 0.7253 0.2500
0.2747 0.3401 0.2500
0.3401 0.0654 0.7500
0.6599 0.9346 0.2500
0.7253 0.6599 0.7500
0.9346 0.2747 0.7500
0.3333 0.6667 0.7500
0.6667 0.3333 0.2500
0.0645 0.6964 0.7500
0.3036 0.3680 0.7500
0.3680 0.0645 0.2500
0.6320 0.9355 0.7500
0.6964 0.6320 0.2500
0.9355 0.3036 0.2500
```

Properties
E_tot = -5.6838 eV per atom
uncorrected formation energy = -0.689 eV/atom
total magnetization = 0.0000 μB per atom

Compound: CaInSe2N
Source: the Alexandria database
Functional: GGA-PBEsol
Structure: relaxed

Geometry as POSCAR:
```
CaInSe2N
1.0
5.4516 0.0000 0.0000
0.0000 5.4516 0.0000
0.0000 0.0000 4.4534
Ca In Se N
1 1 2 1
direct
0.0000 0.0000 0.0000
0.5000 0.5000 0.5000
0.0000 0.5000 0.0000
0.5000 0.0000 0.0000
0.0000 0.0000 0.5000
```

Properties
E_tot = -3.8283 eV per atom
uncorrected formation energy = 0.440 eV/atom
total magnetization = 0.5081 μB per atom